# PBE Pm7Dy16Tm6, optimized geometry
data_Pm7Dy16Tm6
_cell_length_a 15.780
_cell_length_b 15.780
_cell_length_c 15.780
_cell_angle_alpha 90.00
_cell_angle_beta 90.00
_cell_angle_gamma 90.00
_space_group_name_H-M_alt 'F m -3 m'
_space_group_IT_number 225
_space_group_name_Hall '-F 4 2 3'
loop_
_atom_site_label
_atom_site_fract_x
_atom_site_fract_y
_atom_site_fract_z
Pm1 0.000 0.000 0.000
Pm2 0.000 0.250 0.250
Dy1 0.127 0.127 0.127
Dy2 0.150 0.150 0.350
Tm1 0.000 0.000 0.261
# N(E_F)   1.950 states/eV per atom
# Total moment   0.00 μB per cell
# Energy of formation   7.65 eV/f.u.